Nd2ErRu after structural relaxation. Source: Alexandria, functional PBE-GGA.

Results
- total DFT energy (no corrections) (eV/atom) = -6.054
- SG = Cmcm, No. 63
- energy of formation (eV per atom) = -0.21
- theoretical density (g cm⁻³) = 8.18
- offset from the most stable computed form (meV/atom) = 21.5

Unit cell a=6.344 b=6.344 c=9.322 alpha=90.00 beta=90.00 gamma=142.95
Atoms (fractional coordinates):
Nd 0.140 0.860 0.568
Nd 0.140 0.860 0.932
Nd 0.860 0.140 0.068
Nd 0.860 0.140 0.432
Er 0.419 0.581 0.750
Er 0.581 0.419 0.250
Ru 0.239 0.761 0.250
Ru 0.761 0.239 0.750


Hf2GePd8 after structural relaxation. Source: Alexandria, functional PBE-GGA.

Results
- total DFT energy (no corrections) (eV/atom) = -6.687
- SG = Immm, No. 71
- energy of formation (eV per atom) = -0.68
- theoretical density (g cm⁻³) = 11.71

Unit cell a=7.785 b=7.785 c=7.785 alpha=145.59 beta=136.65 gamma=56.48
Atoms (fractional coordinates):
Hf 0.189 0.189 0.000
Hf 0.811 0.811 0.000
Ge 0.500 0.500 0.000
Pd 0.103 0.364 0.739
Pd 0.248 0.000 0.248
Pd 0.314 0.814 0.500
Pd 0.376 0.636 0.739
Pd 0.624 0.364 0.261
Pd 0.686 0.186 0.500
Pd 0.752 0.000 0.752
Pd 0.897 0.636 0.261


HfTi3Pb after structural relaxation. Source: Alexandria, functional PBE-GGA.

Results
- total DFT energy (no corrections) (eV/atom) = -6.189
- SG = Pm-3m, No. 221
- energy of formation (eV per atom) = 1.28
- theoretical density (g cm⁻³) = 6.84
- offset from the most stable computed form (meV/atom) = 1154.0

Unit cell a=5.047 b=5.047 c=5.047 alpha=90.00 beta=90.00 gamma=90.00
Atoms (fractional coordinates):
Hf 0.000 0.000 0.000
Ti 0.000 0.500 0.500
Ti 0.500 0.000 0.500
Ti 0.500 0.500 0.000
Pb 0.500 0.500 0.500


GaTe2PI after structural relaxation. Source: Alexandria, functional PBE-GGA.

Results
- total DFT energy (no corrections) (eV/atom) = -2.931
- SG = P4/mmm, No. 123
- ΔE_f (raw) (eV/atom) = 0.323
- theoretical density (g cm⁻³) = 5.04
- offset from the most stable computed form (meV/atom) = 0.0

Unit cell a=5.356 b=5.356 c=5.540 alpha=90.00 beta=90.00 gamma=90.00
Atoms (fractional coordinates):
Ga 0.000 0.000 0.000
Te 0.000 0.500 0.500
Te 0.500 0.000 0.500
P 0.500 0.500 0.500
I 0.500 0.500 0.000


TbPm2Sm2Mg after structural relaxation. Source: Alexandria, functional PBE-GGA.

Results
- total DFT energy (no corrections) (eV/atom) = -4.006
- SG = Ibam, No. 72
- energy of formation (eV per atom) = 0.19
- theoretical density (g cm⁻³) = 6.51

Unit cell a=10.148 b=10.148 c=10.148 alpha=140.80 beta=54.99 gamma=143.01
Atoms (fractional coordinates):
Tb 0.250 0.250 0.000
Tb 0.750 0.750 0.000
Pm 0.153 0.655 0.808
Pm 0.347 0.155 0.502
Pm 0.653 0.845 0.498
Pm 0.847 0.345 0.192
Sm 0.153 0.159 0.311
Sm 0.347 0.659 0.006
Sm 0.653 0.341 0.994
Sm 0.847 0.841 0.689
Mg 0.250 0.750 0.500
Mg 0.750 0.250 0.500


LiTbThFe after structural relaxation. Source: Alexandria, functional PBE-GGA.

Results
- total DFT energy (no corrections) (eV/atom) = -5.499
- SG = F-43m, No. 216
- energy of formation (eV per atom) = 0.11
- theoretical density (g cm⁻³) = 8.88

Unit cell a=4.933 b=4.933 c=4.933 alpha=60.00 beta=60.00 gamma=60.00
Atoms (fractional coordinates):
Li 0.000 0.000 0.000
Tb 0.250 0.250 0.250
Th 0.750 0.750 0.750
Fe 0.500 0.500 0.500


Rb2In3Hg6 after structural relaxation. Source: Alexandria, functional PBE-GGA.

Results
- total DFT energy (no corrections) (eV/atom) = -1.204
- SG = P-62m, No. 189
- energy of formation (eV per atom) = -0.12
- theoretical density (g cm⁻³) = 7.71
- offset from the most stable computed form (meV/atom) = 0.0

Unit cell a=8.991 b=8.991 c=5.285 alpha=90.00 beta=90.00 gamma=120.00
Atoms (fractional coordinates):
Rb 0.333 0.667 0.000
Rb 0.667 0.333 0.000
In 0.000 0.341 0.500
In 0.341 0.000 0.500
In 0.659 0.659 0.500
Hg 0.000 0.194 0.000
Hg 0.000 0.673 0.500
Hg 0.194 0.000 0.000
Hg 0.327 0.327 0.500
Hg 0.673 0.000 0.500
Hg 0.806 0.806 0.000


CaAg2Sb after structural relaxation. Source: Alexandria, functional PBE-GGA.

Results
- total DFT energy (no corrections) (eV/atom) = -3.225
- SG = Pm, No. 6
- ΔE_f (raw) (eV/atom) = -0.268
- theoretical density (g cm⁻³) = 6.68

Unit cell a=3.454 b=4.584 c=6.165 alpha=90.00 beta=105.85 gamma=90.00
Atoms (fractional coordinates):
Ca 0.000 0.000 0.000
Ag 0.336 0.500 0.677
Ag 0.744 0.000 0.501
Sb 0.607 0.500 0.217


AlFeSe2 after structural relaxation. Source: Alexandria, functional PBE-GGA.

Results
- total DFT energy (no corrections) (eV/atom) = -4.662
- SG = P4/mmm, No. 123
- ΔE_f (raw) (eV/atom) = 0.132
- theoretical density (g cm⁻³) = 5.86

Unit cell a=3.187 b=3.187 c=6.714 alpha=90.00 beta=90.00 gamma=90.00
Atoms (fractional coordinates):
Al 0.000 0.000 0.000
Fe 0.000 0.000 0.500
Se 0.500 0.500 0.266
Se 0.500 0.500 0.734


CsHg2Pb2 after structural relaxation. Source: Alexandria, functional PBE-GGA.

Results
- total DFT energy (no corrections) (eV/atom) = -1.813
- SG = P4/mbm, No. 127
- energy of formation (eV per atom) = -0.04
- theoretical density (g cm⁻³) = 9.33
- offset from the most stable computed form (meV/atom) = 109.2

Unit cell a=9.686 b=9.686 c=3.600 alpha=90.00 beta=90.00 gamma=90.00
Atoms (fractional coordinates):
Cs 0.000 0.000 0.000
Cs 0.500 0.500 0.000
Hg 0.154 0.346 0.000
Hg 0.346 0.846 0.000
Hg 0.654 0.154 0.000
Hg 0.846 0.654 0.000
Pb 0.134 0.634 0.500
Pb 0.366 0.134 0.500
Pb 0.634 0.866 0.500
Pb 0.866 0.366 0.500


TmZnCdAu after structural relaxation. Source: Alexandria, functional PBE-GGA.

Results
- total DFT energy (no corrections) (eV/atom) = -2.969
- SG = F-43m, No. 216
- energy of formation (eV per atom) = -0.48
- theoretical density (g cm⁻³) = 11.30

Unit cell a=4.834 b=4.834 c=4.834 alpha=60.00 beta=60.00 gamma=60.00
Atoms (fractional coordinates):
Tm 0.000 0.000 0.000
Zn 0.750 0.750 0.750
Cd 0.500 0.500 0.500
Au 0.250 0.250 0.250


CePm5Ge5 after structural relaxation. Source: Alexandria, functional PBE-GGA.

Results
- total DFT energy (no corrections) (eV/atom) = -5.424
- SG = C2/m, No. 12
- energy of formation (eV per atom) = -0.63
- theoretical density (g cm⁻³) = 6.30

Unit cell a=7.396 b=7.396 c=8.406 alpha=106.49 beta=106.49 gamma=47.79
Atoms (fractional coordinates):
Ce 0.000 0.000 0.000
Pm 0.000 0.000 0.500
Pm 0.328 0.328 0.669
Pm 0.329 0.329 0.160
Pm 0.671 0.671 0.840
Pm 0.672 0.672 0.331
Ge 0.160 0.160 0.829
Ge 0.163 0.163 0.332
Ge 0.500 0.500 0.000
Ge 0.837 0.837 0.668
Ge 0.840 0.840 0.171


NaGa2Cu3 after structural relaxation. Source: Alexandria, functional PBE-GGA.

Results
- total DFT energy (no corrections) (eV/atom) = -3.307
- SG = Cmcm, No. 63
- energy of formation (eV per atom) = -0.03
- theoretical density (g cm⁻³) = 5.64

Unit cell a=6.406 b=6.406 c=5.133 alpha=90.00 beta=90.00 gamma=80.83
Atoms (fractional coordinates):
Na 0.179 0.821 0.750
Na 0.821 0.179 0.250
Ga 0.278 0.278 0.000
Ga 0.278 0.278 0.500
Ga 0.722 0.722 0.000
Ga 0.722 0.722 0.500
Cu 0.038 0.559 0.250
Cu 0.437 0.563 0.250
Cu 0.441 0.962 0.250
Cu 0.559 0.038 0.750
Cu 0.563 0.437 0.750
Cu 0.962 0.441 0.750


Cd2TePb after structural relaxation. Source: Alexandria, functional PBE-GGA.

Results
- total DFT energy (no corrections) (eV/atom) = -2.132
- SG = I-42d, No. 122
- ΔE_f (raw) (eV/atom) = 0.038
- theoretical density (g cm⁻³) = 6.26
- offset from the most stable computed form (meV/atom) = 108.5

Unit cell a=7.669 b=7.669 c=7.669 alpha=124.11 beta=124.11 gamma=83.02
Atoms (fractional coordinates):
Cd 0.115 0.625 0.990
Cd 0.375 0.365 0.490
Cd 0.635 0.125 0.010
Cd 0.875 0.885 0.510
Te 0.000 0.000 0.000
Te 0.750 0.250 0.500
Pb 0.250 0.750 0.500
Pb 0.500 0.500 0.000


Pr3PuGe4 after structural relaxation. Source: Alexandria, functional PBE-GGA.

Results
- total DFT energy (no corrections) (eV/atom) = -6.445
- SG = Immm, No. 71
- energy of formation (eV per atom) = -0.55
- theoretical density (g cm⁻³) = 7.12

Unit cell a=8.958 b=8.958 c=8.958 alpha=152.67 beta=137.18 gamma=51.55
Atoms (fractional coordinates):
Pr 0.000 0.000 0.000
Pr 0.307 0.807 0.500
Pr 0.693 0.193 0.500
Pu 0.500 0.500 0.000
Ge 0.061 0.371 0.691
Ge 0.320 0.629 0.691
Ge 0.680 0.371 0.309
Ge 0.939 0.629 0.309


InCuGePd after structural relaxation. Source: Alexandria, functional PBE-GGA.

Results
- total DFT energy (no corrections) (eV/atom) = -4.206
- SG = F-43m, No. 216
- energy of formation (eV per atom) = -0.04
- theoretical density (g cm⁻³) = 8.71

Unit cell a=4.585 b=4.585 c=4.585 alpha=60.00 beta=60.00 gamma=60.00
Atoms (fractional coordinates):
In 0.000 0.000 0.000
Cu 0.250 0.250 0.250
Ge 0.500 0.500 0.500
Pd 0.750 0.750 0.750


Sm7Ga2N2 after structural relaxation. Source: Alexandria, functional PBE-GGA.

Results
- total DFT energy (no corrections) (eV/atom) = -5.467
- SG = C2/m, No. 12
- ΔE_f (raw) (eV/atom) = -0.400
- theoretical density (g cm⁻³) = 6.12

Unit cell a=6.795 b=6.795 c=7.727 alpha=94.10 beta=94.10 gamma=110.86
Atoms (fractional coordinates):
Sm 0.000 0.000 0.000
Sm 0.065 0.446 0.770
Sm 0.403 0.403 0.192
Sm 0.446 0.065 0.770
Sm 0.554 0.935 0.230
Sm 0.597 0.597 0.808
Sm 0.935 0.554 0.230
Ga 0.330 0.670 0.500
Ga 0.670 0.330 0.500
N 0.285 0.285 0.888
N 0.715 0.715 0.112


Pu2NO after structural relaxation. Source: Alexandria, functional PBE-GGA.

Results
- total DFT energy (no corrections) (eV/atom) = -12.260
- SG = P6_3/mmc, No. 194
- ΔE_f (raw) (eV/atom) = -1.773
- theoretical density (g cm⁻³) = 13.86
- offset from the most stable computed form (meV/atom) = 109.4

Unit cell a=3.461 b=3.461 c=11.965 alpha=90.00 beta=90.00 gamma=120.00
Atoms (fractional coordinates):
Pu 0.333 0.667 0.118
Pu 0.333 0.667 0.382
Pu 0.667 0.333 0.618
Pu 0.667 0.333 0.882
N 0.000 0.000 0.000
N 0.000 0.000 0.500
O 0.333 0.667 0.750
O 0.667 0.333 0.250


ScAs2Os after structural relaxation. Source: Alexandria, functional PBE-GGA.

Results
- total DFT energy (no corrections) (eV/atom) = -6.804
- SG = R3m, No. 160
- energy of formation (eV per atom) = -0.09
- theoretical density (g cm⁻³) = 8.41
- offset from the most stable computed form (meV/atom) = 326.6

Unit cell a=9.144 b=9.144 c=9.144 alpha=19.70 beta=19.70 gamma=19.70
Atoms (fractional coordinates):
Sc 0.000 0.000 0.000
As 0.522 0.522 0.522
As 0.748 0.748 0.748
Os 0.253 0.253 0.253


TbSm2PuSb4 after structural relaxation. Source: Alexandria, functional PBE-GGA.

Results
- total DFT energy (no corrections) (eV/atom) = -6.628
- SG = P2/m, No. 10
- ΔE_f (raw) (eV/atom) = -1.017
- theoretical density (g cm⁻³) = 7.97

Unit cell a=7.688 b=4.450 c=7.690 alpha=90.00 beta=109.46 gamma=90.00
Atoms (fractional coordinates):
Tb 0.000 0.000 0.000
Sm 0.000 0.500 0.500
Sm 0.500 0.000 0.500
Pu 0.500 0.500 0.000
Sb 0.249 0.500 0.245
Sb 0.252 0.000 0.755
Sb 0.748 0.000 0.245
Sb 0.751 0.500 0.755


TmTlCuNi after structural relaxation. Source: Alexandria, functional PBE-GGA.

Results
- total DFT energy (no corrections) (eV/atom) = -4.351
- SG = F-43m, No. 216
- energy of formation (eV per atom) = -0.17
- theoretical density (g cm⁻³) = 11.58

Unit cell a=4.649 b=4.649 c=4.649 alpha=60.00 beta=60.00 gamma=60.00
Atoms (fractional coordinates):
Tm 0.000 0.000 0.000
Tl 0.500 0.500 0.500
Cu 0.250 0.250 0.250
Ni 0.750 0.750 0.750


RbPdRu2 after structural relaxation. Source: Alexandria, functional PBE-GGA.

Results
- total DFT energy (no corrections) (eV/atom) = -4.634
- SG = Fm-3m, No. 225
- energy of formation (eV per atom) = 1.54
- theoretical density (g cm⁻³) = 8.71
- offset from the most stable computed form (meV/atom) = 309.5

Unit cell a=4.736 b=4.736 c=4.736 alpha=60.00 beta=60.00 gamma=60.00
Atoms (fractional coordinates):
Rb 0.000 0.000 0.000
Pd 0.500 0.500 0.500
Ru 0.250 0.250 0.250
Ru 0.750 0.750 0.750


Rb2UBr5O after structural relaxation. Source: Alexandria, functional PBE-GGA.

Results
- total DFT energy (no corrections) (eV/atom) = -4.731
- SG = I4mm, No. 107
- ΔE_f (raw) (eV/atom) = -1.781
- theoretical density (g cm⁻³) = 4.09

Unit cell a=7.703 b=7.703 c=7.703 alpha=117.40 beta=117.40 gamma=94.57
Atoms (fractional coordinates):
Rb 0.000 0.500 0.500
Rb 0.500 0.000 0.500
U 0.241 0.241 0.000
Br 0.003 0.003 0.504
Br 0.003 0.499 0.000
Br 0.499 0.003 0.000
Br 0.499 0.499 0.496
Br 0.503 0.503 0.000
O 0.066 0.066 0.000


AcDy5Y7 after structural relaxation. Source: Alexandria, functional PBE-GGA.

Results
- total DFT energy (no corrections) (eV/atom) = -5.336
- SG = Imm2, No. 44
- energy of formation (eV per atom) = 0.23
- theoretical density (g cm⁻³) = 6.23

Unit cell a=8.810 b=8.810 c=8.810 alpha=135.57 beta=99.85 gamma=96.60
Atoms (fractional coordinates):
Ac 0.000 0.000 0.000
Dy 0.439 0.442 0.472
Dy 0.439 0.967 0.997
Dy 0.711 0.211 0.500
Dy 0.970 0.442 0.003
Dy 0.970 0.967 0.528
Y 0.128 0.454 0.674
Y 0.209 0.709 0.500
Y 0.293 0.956 0.337
Y 0.389 0.389 0.000
Y 0.620 0.956 0.663
Y 0.690 0.690 0.000
Y 0.780 0.454 0.326


BeCdMo2 after structural relaxation. Source: Alexandria, functional PBE-GGA.

Results
- total DFT energy (no corrections) (eV/atom) = -6.260
- SG = Pm, No. 6
- energy of formation (eV per atom) = 0.32
- theoretical density (g cm⁻³) = 8.32
- offset from the most stable computed form (meV/atom) = 57.9

Unit cell a=2.784 b=4.234 c=5.362 alpha=90.00 beta=98.20 gamma=90.00
Atoms (fractional coordinates):
Be 0.000 0.000 0.000
Cd 0.011 0.500 0.275
Mo 0.397 0.500 0.799
Mo 0.595 0.000 0.561